Record 1
Ho2TmNpS4 | PBE-GGA | relaxed

Cell: 3.8747 6.7241 6.7227 Å, 109.33 90.00 90.00°
Atoms (fractional coordinates):
Ho  0.5000  0.0000  0.5000
Ho  0.0000  0.5000  0.5000
Tm  0.5000  0.5000  0.0000
Np  0.0000  0.0000  0.0000
S  0.5000  0.2531  0.2506
S  0.5000  0.7469  0.7494
S  0.0000  0.2541  0.7512
S  0.0000  0.7459  0.2488

Values from the calculation:
calculated volume	165	Å³/cell
SG	P2/m
energy relative to the elements, uncorrected	-1.819	eV per atom

---

Record 2
Ce5Th2In | PBE-GGA | relaxed

Cell: 6.7903 6.7886 6.6501 Å, 104.98 105.01 119.54°
Atoms (fractional coordinates):
Ce  0.2457  0.3102  0.4997
Ce  0.3041  0.7655  0.0001
Ce  0.7893  0.2510  0.0000
Ce  0.7463  0.8108  0.5002
Ce  0.3518  0.2035  0.0001
Th  0.2278  0.7966  0.4682
Th  0.7596  0.3284  0.5318
In  0.7984  0.7569  0.9999

Values from the calculation:
DFT total energy	-0.21865	hartree per atom
calculated volume	229	Å³/cell
SG	Cm

---

Record 3
CsKCd2Pt | PBE-GGA | relaxed

Cell: 5.4365 5.4365 6.3168 Å, 90.00 90.00 90.00°
Atoms (fractional coordinates):
Cs  0.0000  0.0000  0.5000
K  0.5000  0.5000  0.5000
Pt  0.0000  0.0000  0.0000
Cd  0.0000  0.5000  0.0000
Cd  0.5000  0.0000  0.0000

Values from the calculation:
calculated volume	187	Å³/cell
SG	P4/mmm
energy relative to the lowest polymorph listed for this composition	72	meV per atom

---

Record 4
Ce2HoIn | PBE-GGA | relaxed

Cell: 4.5557 4.2952 11.5076 Å, 90.00 99.35 90.00°
Atoms (fractional coordinates):
Ce  0.6114  0.2500  0.1181
Ce  0.3886  0.7500  0.8819
Ce  0.0031  0.7500  0.1128
Ce  0.9969  0.2500  0.8872
Ho  0.6986  0.7500  0.3941
Ho  0.3014  0.2500  0.6059
In  0.1787  0.2500  0.3295
In  0.8213  0.7500  0.6705

Values from the calculation:
calculated volume	222	Å³/cell
SG	P2_1/m
energy relative to the lowest polymorph listed for this composition	50	meV per atom

---

Record 5
PmErTlGe | PBE-GGA | relaxed

Cell: 5.2628 5.2628 5.2628 Å, 60.00 60.00 60.00°
Atoms (fractional coordinates):
Tl  0.5000  0.5000  0.5000
Pm  0.7500  0.7500  0.7500
Ge  0.0000  0.0000  0.0000
Er  0.2500  0.2500  0.2500

Values from the calculation:
DFT total energy	-0.16533	hartree per atom
calculated volume	103	Å³/cell
SG	F-43m

---

Record 6
Y2Ho7Tm2 | PBE-GGA | relaxed

Cell: 5.9970 7.9620 7.9620 Å, 90.96 73.84 73.84°
Atoms (fractional coordinates):
Y  0.5000  0.2152  0.7848
Y  0.5000  0.7848  0.2152
Ho  0.1749  0.0596  0.5903
Ho  0.8251  0.4097  0.9404
Ho  0.8251  0.9404  0.4097
Ho  0.1749  0.5903  0.0596
Ho  0.0000  0.0000  0.0000
Ho  0.5853  0.7653  0.7653
Ho  0.4147  0.2347  0.2347
Tm  0.8031  0.4121  0.4121
Tm  0.1969  0.5879  0.5879

Values from the calculation:
DFT total energy	-0.17397	hartree per atom
calculated volume	349	Å³/cell
SG	C2/m

---

Record 7
CeMgTe | PBE-GGA | relaxed

Cell: 4.0422 5.7482 8.8579 Å, 115.88 90.00 110.59°
Atoms (fractional coordinates):
Te  0.8970  0.7939  0.7522
Te  0.1030  0.2061  0.2478
Mg  0.3751  0.7501  0.0584
Mg  0.6249  0.2499  0.9416
Ce  0.8624  0.7247  0.3759
Ce  0.1376  0.2753  0.6241

Values from the calculation:
calculated volume	170	Å³/cell
SG	C2/m
energy relative to the elements, uncorrected	-0.519	eV per atom

---

Record 8
YPb2Se | PBE-GGA | relaxed

Cell: 3.6811 3.6811 9.3208 Å, 90.00 90.00 113.24°
Atoms (fractional coordinates):
Pb  0.0000  0.0000  0.0232
Pb  0.0000  0.0000  0.4768
Se  0.5000  0.5000  0.2500
Y  0.5000  0.5000  0.7500

Values from the calculation:
calculated volume	116	Å³/cell
SG	Cmmm
energy relative to the elements, uncorrected	-0.108	eV per atom

---

Record 9
Cs2AgSbS4 | PBE-GGA | relaxed

Cell: 7.1381 7.5242 11.8254 Å, 71.18 72.81 69.88°
Atoms (fractional coordinates):
Cs  0.7402  0.7647  0.5933
Cs  0.2598  0.2353  0.4067
Cs  0.7541  0.5405  0.1852
Cs  0.2459  0.4595  0.8148
Ag  0.6117  0.1278  0.0882
Ag  0.3883  0.8722  0.9118
Sb  0.8704  0.1203  0.7714
Sb  0.1296  0.8797  0.2286
S  0.2622  0.6459  0.1091
S  0.7642  0.9606  0.2726
S  0.7519  0.2675  0.5886
S  0.7378  0.3541  0.8909
S  0.2318  0.1693  0.1213
S  0.2481  0.7325  0.4114
S  0.7682  0.8307  0.8787
S  0.2358  0.0394  0.7274

Values from the calculation:
calculated volume	552	Å³/cell
SG	P-1
energy relative to the elements, uncorrected	-0.664	eV per atom
energy relative to the lowest polymorph listed for this composition	0	meV per atom

---

Record 10
La4AlGa2 | PBE-GGA | relaxed

Cell: 5.2765 5.2765 9.0873 Å, 73.12 73.12 60.00°
Atoms (fractional coordinates):
Al  0.0000  0.0000  0.0000
Ga  0.7484  0.7484  0.7547
Ga  0.2516  0.2516  0.2453
La  0.8712  0.8712  0.3863
La  0.1288  0.1288  0.6137
La  0.6197  0.6197  0.1410
La  0.3803  0.3803  0.8590

Values from the calculation:
DFT total energy	-0.16894	hartree per atom
calculated volume	206	Å³/cell
SG	R-3m

---

Record 11
LaBeFe2 | PBE-GGA | relaxed

Cell: 3.5753 4.0961 4.0961 Å, 90.00 90.00 90.00°
Atoms (fractional coordinates):
Be  0.5000  0.0000  0.5000
Fe  0.0000  0.0000  0.0000
Fe  0.0000  0.5000  0.5000
La  0.5000  0.5000  0.0000

Values from the calculation:
DFT total energy	-0.21531	hartree per atom
calculated volume	60	Å³/cell
SG	P4/mmm

---

Record 12
KGa3Hg | PBE-GGA | relaxed

Cell: 6.0095 6.0095 6.0095 Å, 90.00 90.00 90.00°
Atoms (fractional coordinates):
K  0.0000  0.0000  0.0000
Hg  0.5000  0.5000  0.5000
Ga  0.0000  0.5000  0.0000
Ga  0.0000  0.0000  0.5000
Ga  0.5000  0.0000  0.0000

Values from the calculation:
calculated volume	217	Å³/cell
SG	Pm-3m
energy relative to the lowest polymorph listed for this composition	675	meV per atom

---

no.,total moment (μB per formula unit)
1,4.52
2,1.21
3,0.00
4,0.00
5,0.00
6,0.00
7,1.11
8,0.00
9,0.00
10,0.00
11,2.52
12,0.00